The following is a GGA-PBEsol calculation of a relaxed structure of CaSc2Zn, from Alexandria via LeMat-Bulk.

Properties
Symmetry   Imm2, No. 44
Volume   23.38 Å³ per atom
Calculated formation energy   0.027 eV per atom
Energy   -4.2045 eV/atom

Cell: 6.149 6.149 6.149 Å, 146.64 132.43 59.34°
Sites, in units of the cell vectors:
1 Ca 0.000 0.000 0.000
2 Sc 0.286 0.786 0.500
3 Sc 0.578 0.578 0.000
4 Zn 0.773 0.273 0.500

The following is a GGA-PBEsol calculation of a relaxed structure of CaScZn, from Alexandria via LeMat-Bulk.

Properties
Symmetry   F-43m, No. 216
Volume   25.81 Å³ per atom
Calculated formation energy   0.726 eV per atom
Energy   -2.7139 eV/atom

Cell: 4.784 4.784 4.784 Å, 60.00 60.00 60.00°
Sites, in units of the cell vectors:
1 Ca 0.000 0.000 0.000
2 Sc 0.250 0.250 0.250
3 Zn 0.750 0.750 0.750

The following is a GGA-PBEsol calculation of a relaxed structure of CaSc2Zn, from Alexandria via LeMat-Bulk.

Properties
Symmetry   Immm, No. 71
Volume   23.64 Å³ per atom
Calculated formation energy   -0.065 eV per atom
Energy   -4.2959 eV/atom

Cell: 6.265 6.265 6.265 Å, 148.78 131.57 58.75°
Sites, in units of the cell vectors:
1 Ca 0.000 0.000 0.000
2 Sc 0.291 0.791 0.500
3 Sc 0.709 0.209 0.500
4 Zn 0.500 0.500 0.000

The following is a GGA-PBEsol calculation of a relaxed structure of Ca2ScZn, from Alexandria via LeMat-Bulk.

Properties
Symmetry   P4/mmm, No. 123
Volume   26.34 Å³ per atom
Calculated formation energy   0.117 eV per atom
Energy   -2.9960 eV/atom

Cell: 4.897 4.897 4.393 Å, 90.00 90.00 90.00°
Sites, in units of the cell vectors:
1 Ca 0.000 0.500 0.000
2 Ca 0.500 0.000 0.000
3 Sc 0.000 0.000 0.500
4 Zn 0.500 0.500 0.500

The following is a GGA-PBEsol calculation of a relaxed structure of CaZrSc3, from Alexandria via LeMat-Bulk.

Properties
Symmetry   Pm-3m, No. 221
Volume   28.40 Å³ per atom
Calculated formation energy   0.521 eV per atom
Energy   -5.6866 eV/atom

Cell: 5.217 5.217 5.217 Å, 90.00 90.00 90.00°
Sites, in units of the cell vectors:
1 Ca 0.000 0.000 0.000
2 Zr 0.500 0.500 0.500
3 Sc 0.000 0.500 0.500
4 Sc 0.500 0.000 0.500
5 Sc 0.500 0.500 0.000

The following is a GGA-PBEsol calculation of a relaxed structure of CaZr2Sc, from Alexandria via LeMat-Bulk.

Properties
Symmetry   P4/mmm, No. 123
Volume   24.40 Å³ per atom
Calculated formation energy   0.429 eV per atom
Energy   -6.3008 eV/atom

Cell: 5.383 5.383 3.368 Å, 90.00 90.00 90.00°
Sites, in units of the cell vectors:
1 Ca 0.000 0.000 0.000
2 Zr 0.000 0.500 0.500
3 Zr 0.500 0.000 0.500
4 Sc 0.500 0.500 0.000

The following is a GGA-PBEsol calculation of a relaxed structure of CaZr2Sc, from Alexandria via LeMat-Bulk.

Properties
Symmetry   I4/mmm, No. 139
Volume   24.24 Å³ per atom
Calculated formation energy   0.299 eV per atom
Energy   -6.4301 eV/atom

Cell: 5.714 5.714 5.714 Å, 133.34 133.34 68.13°
Sites, in units of the cell vectors:
1 Ca 0.000 0.000 0.000
2 Zr 0.250 0.750 0.500
3 Zr 0.750 0.250 0.500
4 Sc 0.500 0.500 0.000

The following is a GGA-PBEsol calculation of a relaxed structure of Ca2ZrSc, from Alexandria via LeMat-Bulk.

Properties
Symmetry   F-43m, No. 216
Volume   28.33 Å³ per atom
Calculated formation energy   0.400 eV per atom
Energy   -4.5900 eV/atom

Cell: 5.432 5.432 5.432 Å, 60.00 60.00 60.00°
Sites, in units of the cell vectors:
1 Ca 0.000 0.000 0.000
2 Ca 0.250 0.250 0.250
3 Zr 0.500 0.500 0.500
4 Sc 0.750 0.750 0.750

Q: Among the records above, which one has the highest energy?
A: CaScZn

Q: Number 5 is which compound?
A: CaZrSc3

Q: Which formula does entry 3 have?
A: CaSc2Zn

Q: Among the records above, which one has the highest calculated formation energy?
A: CaScZn